Entry 1:
Below is an optimized crystal structure of BaTbPO, with properties calculated at the PBE-GGA level.

Calculated values
Its volume is 189 Å³ per cell. The total DFT energy (no corrections) is -48.18 eV/cell. The magnetization comes out at 0.00 μB/cell.

CIF file:
```
data_BaTbPO
_space_group_name_H-M_alt 'P 4/n m m'
_space_group_IT_number 129
_cell_length_a 5.536
_cell_length_b 5.536
_cell_length_c 6.158
_cell_angle_alpha 90.00
_cell_angle_beta 90.00
_cell_angle_gamma 90.00
loop_
_space_group_symop_operation_xyz
'x,y,z'
'-x,-y,-z'
'-y+1/2,x,z'
'y+1/2,-x,-z'
'-x+1/2,-y+1/2,z'
'x+1/2,y+1/2,-z'
'y,-x+1/2,z'
'-y,x+1/2,-z'
'x+1/2,-y,-z'
'-x+1/2,y,z'
'-y,-x,-z'
'y,x,z'
'-x,y+1/2,-z'
'x,-y+1/2,z'
'y+1/2,x+1/2,-z'
'-y+1/2,-x+1/2,z'
loop_
_atom_site_label
_atom_site_type_symbol
_atom_site_fract_x
_atom_site_fract_y
_atom_site_fract_z
Ba1 Ba 0.250 0.250 0.002
Tb1 Tb 0.250 0.750 0.500
P1 P 0.250 0.250 0.502
O1 O 0.250 0.750 0.000
```

Entry 2:
Below is an optimized crystal structure of ScBeInPt, with properties calculated at the PBE-GGA level.

Calculated values
Its volume is 263 Å³ per cell. The total DFT energy (no corrections) is -81.70 eV/cell. The magnetization comes out at 0.00 μB/cell.

CIF file:
```
data_ScBeInPt
_space_group_name_H-M_alt 'F -4 3 m'
_space_group_IT_number 216
_space_group_name_Hall 'F -4 2 3'
_cell_length_a 6.405
_cell_length_b 6.405
_cell_length_c 6.405
_cell_angle_alpha 90.00
_cell_angle_beta 90.00
_cell_angle_gamma 90.00
loop_
_atom_site_label
_atom_site_type_symbol
_atom_site_fract_x
_atom_site_fract_y
_atom_site_fract_z
Sc1 Sc 0.000 0.000 0.000
Be1 Be 0.250 0.250 0.250
In1 In 0.250 0.250 0.750
Pt1 Pt 0.000 0.000 0.500
```

Entry 3:
Below is an optimized crystal structure of SrPrTe, with properties calculated at the PBE-GGA level.

Calculated values
Its volume is 444 Å³ per cell. The total DFT energy (no corrections) is -46.18 eV/cell. The magnetization comes out at 4.74 μB/cell.

CIF file:
```
data_SrPrTe
_space_group_name_H-M_alt 'F -4 3 m'
_space_group_IT_number 216
_space_group_name_Hall 'F -4 2 3'
_cell_length_a 7.629
_cell_length_b 7.629
_cell_length_c 7.629
_cell_angle_alpha 90.00
_cell_angle_beta 90.00
_cell_angle_gamma 90.00
loop_
_atom_site_label
_atom_site_type_symbol
_atom_site_fract_x
_atom_site_fract_y
_atom_site_fract_z
Sr1 Sr 0.000 0.000 0.000
Pr1 Pr 0.000 0.000 0.500
Te1 Te 0.250 0.250 0.750
```